! SrMg2Zr | the Alexandria database | PBE-GGA | relaxed; values from VASP
! **Fermi-level density of states**: 4.6 states/eV/cell
! **E_form**: 0.3740 eV per atom
! **Distance to the lowest polymorph of the same formula**: 0.268 eV/atom
! **Space group**: Immm, No. 71
&SYSTEM
  ibrav = 0, nat = 4, ntyp = 3
/
ATOMIC_SPECIES
Mg 24.30 Mg.upf
Sr 87.62 Sr.upf
Zr 91.22 Zr.upf
CELL_PARAMETERS angstrom
-0.156 -0.526 6.349
4.793 -3.188 2.732
-1.536 4.984 -3.661
ATOMIC_POSITIONS crystal
Mg 0.017 0.017 0.000
Mg 0.483 0.483 0.000
Sr 0.750 0.250 0.500
Zr 0.250 0.750 0.500